The following is a GGA-PBE calculation of SrBe2Pt after structural relaxation, from Alexandria via LeMat-Bulk.

Structure (POSCAR):
```
SrBe2Pt
1.0
-0.2101 0.1146 -5.0156
2.3600 -4.4187 -0.3459
-4.4127 1.4169 1.9325
Be Pt Sr
2 1 1
Direct
0.2521 0.7521 0.5000
0.0970 0.0970 0.0000
0.3958 0.3958 0.0000
0.7551 0.2551 0.5000
```

Computed properties:
- ΔH_f (0 K) (eV per atom) = -0.002
- spin magnetization (μB per atom) = 0.00
- total energy (eV for the cell shown) = -15.18
- polymorph energy (0 for the lowest one) (eV/f.u.) = 2.019

The following is a GGA-PBE calculation of TmPuGa after structural relaxation, from Alexandria via LeMat-Bulk.

Structure (POSCAR):
```
TmPuGa
1.0
-2.7920 -0.6405 1.7857
2.7368 -2.3610 3.4323
-0.8507 4.8929 0.4248
Ga Tm Pu
1 1 1
Direct
0.9801 0.0000 0.0000
0.7283 0.6667 0.3333
0.2916 0.3333 0.6667
```

Computed properties:
- ΔH_f (0 K) (eV per atom) = -0.155
- spin magnetization (μB per atom) = 1.96
- total energy (eV for the cell shown) = -22.30
- polymorph energy (0 for the lowest one) (eV/f.u.) = 0.192

The following is a GGA-PBE calculation of ReAsAu2 after structural relaxation, from Alexandria via LeMat-Bulk.

Structure (POSCAR):
```
ReAsAu2
1.0
-3.8069 5.3730 2.4137
-3.0161 4.0714 4.8492
2.4633 3.1325 0.8743
Au As Re
2 1 1
Direct
0.0612 0.0612 0.9247
0.4388 0.4388 0.5753
0.2500 0.2500 0.2500
0.7500 0.7500 0.7500
```

Computed properties:
- ΔH_f (0 K) (eV per atom) = 0.387
- spin magnetization (μB per atom) = 0.00
- total energy (eV for the cell shown) = -22.11

The following is a GGA-PBE calculation of CrFe2Mo after structural relaxation, from Alexandria via LeMat-Bulk.

Structure (POSCAR):
```
CrFe2Mo
1.0
8.5949 0.0266 0.0156
8.1928 2.5981 0.0156
8.1928 1.2809 2.2604
Fe Cr Mo
2 1 1
Direct
0.4942 0.4942 0.4942
0.0058 0.0058 0.0058
0.7500 0.7500 0.7500
0.2500 0.2500 0.2500
```

Computed properties:
- ΔH_f (0 K) (eV per atom) = 0.287
- spin magnetization (μB per atom) = 0.45
- total energy (eV for the cell shown) = -36.23
- polymorph energy (0 for the lowest one) (eV/f.u.) = 0.765

The following is a GGA-PBE calculation of FeTeP2 after structural relaxation, from Alexandria via LeMat-Bulk.

Structure (POSCAR):
```
FeTeP2
1.0
-0.2334 0.9817 -5.7067
4.6844 -0.6919 -3.3410
-4.0417 -2.1276 3.5668
Te Fe P
1 1 2
Direct
0.7500 0.2500 0.5000
0.2500 0.7500 0.5000
0.4250 0.4250 0.0000
0.0750 0.0750 0.0000
```

Computed properties:
- spin magnetization (μB per atom) = 0.21
- uncorrected formation energy (eV per atom) = 0.4061
- total energy (eV for the cell shown) = -20.80

The following is a GGA-PBE calculation of Al5Mo after structural relaxation, from Alexandria via LeMat-Bulk.

Structure (POSCAR):
```
Al5Mo
1.0
9.2034 0.0040 0.0024
7.8694 4.7723 0.0024
7.8694 2.2015 4.2342
Al Mo
10 2
Direct
0.8309 0.8309 0.8309
0.5962 0.9038 0.2500
0.9038 0.2500 0.5962
0.2500 0.5962 0.9038
0.6691 0.6691 0.6691
0.3309 0.3309 0.3309
0.1691 0.1691 0.1691
0.0962 0.7500 0.4038
0.4038 0.0962 0.7500
0.7500 0.4038 0.0962
0.0000 0.0000 0.0000
0.5000 0.5000 0.5000
```

Computed properties:
- ΔH_f (0 K) (eV per atom) = -0.250
- spin magnetization (μB per atom) = 0.00
- total energy (eV for the cell shown) = -62.09
- polymorph energy (0 for the lowest one) (eV/f.u.) = 0.000

The following is a GGA-PBE calculation of BaAgTe2 after structural relaxation, from Alexandria via LeMat-Bulk.

Structure (POSCAR):
```
BaAgTe2
1.0
5.6402 0.0000 0.0000
2.8201 4.8846 0.0000
2.8201 1.6282 4.6052
Ba Te Ag
1 2 1
Direct
0.7500 0.7500 0.7500
0.2500 0.2500 0.2500
0.0000 0.0000 0.0000
0.5000 0.5000 0.5000
```

Computed properties:
- spin magnetization (μB per atom) = 0.00
- uncorrected formation energy (eV per atom) = -0.4075
- total energy (eV for the cell shown) = -12.69

The following is a GGA-PBE calculation of Ce2TmSi3Pt4 after structural relaxation, from Alexandria via LeMat-Bulk.

Structure (POSCAR):
```
Ce2TmSi3Pt4
1.0
-1.5899 1.5167 3.6072
-3.6555 -1.9650 -0.7850
3.5992 -8.8090 5.2903
Ce Pt Tm Si
2 4 1 3
Direct
0.5000 0.0000 0.2293
0.0000 0.5000 0.7707
0.0000 0.5000 0.3415
0.5000 0.5000 0.0000
0.5000 0.0000 0.6585
0.0000 0.0000 0.0000
0.5000 0.5000 0.5000
0.0000 0.5000 0.1207
0.0000 0.0000 0.5000
0.5000 0.0000 0.8793
```

Computed properties:
- spin magnetization (μB per atom) = 0.09
- uncorrected formation energy (eV per atom) = -1.0481
- total energy (eV for the cell shown) = -67.25

The following is a GGA-PBE calculation of SrNpP2 after structural relaxation, from Alexandria via LeMat-Bulk.

Structure (POSCAR):
```
SrNpP2
1.0
4.1280 0.0000 0.0000
2.0640 3.5749 0.0000
2.0640 1.1916 6.8890
P Np Sr
2 1 1
Direct
0.7366 0.7366 0.7902
0.2634 0.2634 0.2098
0.0000 0.0000 0.0000
0.5000 0.5000 0.5000
```

Computed properties:
- ΔH_f (0 K) (eV per atom) = -0.951
- spin magnetization (μB per atom) = 0.75
- total energy (eV for the cell shown) = -29.25
- polymorph energy (0 for the lowest one) (eV/f.u.) = 0.000

The following is a GGA-PBE calculation of LiErLuRh after structural relaxation, from Alexandria via LeMat-Bulk.

Structure (POSCAR):
```
LiErLuRh
1.0
-3.3233 0.7808 -3.4522
-4.7159 -0.5887 0.9927
-2.9239 3.8661 0.2751
Rh Li Er Lu
1 1 1 1
Direct
0.5000 0.5000 0.5000
0.0000 0.0000 0.0000
0.7500 0.7500 0.7500
0.2500 0.2500 0.2500
```

Computed properties:
- ΔH_f (0 K) (eV per atom) = -0.540
- spin magnetization (μB per atom) = 0.00
- total energy (eV for the cell shown) = -20.51

The following is a GGA-PBE calculation of Ca2HoNpO6 after structural relaxation, from Alexandria via LeMat-Bulk.

Structure (POSCAR):
```
Ca2HoNpO6
1.0
4.4611 0.0000 0.0000
0.0000 6.0147 0.0000
0.0000 0.0000 6.0147
O Ca Ho Np
6 2 1 1
Direct
0.7165 0.2431 0.2431
0.7165 0.2431 0.7569
0.1440 0.5000 0.5000
0.1612 0.0000 0.0000
0.7165 0.7569 0.7569
0.7165 0.7569 0.2431
0.0006 0.0000 0.5000
0.0006 0.5000 0.0000
0.6205 0.5000 0.5000
0.6538 0.0000 0.0000
```

Computed properties:
- spin magnetization (μB per atom) = 0.20
- uncorrected formation energy (eV per atom) = -2.9710
- total energy (eV for the cell shown) = -80.98

The following is a GGA-PBE calculation of CdH2I after structural relaxation, from Alexandria via LeMat-Bulk.

Structure (POSCAR):
```
CdH2I
1.0
-0.7722 2.8751 2.6506
3.1167 -2.8029 3.9483
22.7472 0.0745 6.5461
H I Cd
8 4 4
Direct
0.7320 0.6711 0.4501
0.7627 0.6045 0.4324
0.7373 0.1045 0.9324
0.2320 0.8289 0.0499
0.2373 0.3955 0.5676
0.2627 0.8955 0.0676
0.2680 0.3289 0.5499
0.7680 0.1711 0.9501
0.7411 0.1271 0.1328
0.2589 0.8729 0.8672
0.2411 0.3729 0.3672
0.7589 0.6271 0.6328
0.2581 0.6095 0.7344
0.2419 0.1095 0.2344
0.7419 0.3905 0.2656
0.7581 0.8905 0.7656
```

Computed properties:
- spin magnetization (μB per atom) = 0.00
- total energy (eV for the cell shown) = -39.28
- polymorph energy (0 for the lowest one) (eV/f.u.) = 0.000